No. 1
Compound: ZnHg2F6
Source: Alexandria
Functional: GGA-PBE
Structure: relaxed

Cell lengths 5.731, 5.842, 9.735 Å; angles 90.00, 120.37, 90.00 degrees
Positions (direct):
Zn  0.000  0.000  0.000
Zn  0.000  0.500  0.500
Hg  0.312  0.074  0.775
Hg  0.312  0.426  0.275
Hg  0.688  0.574  0.725
Hg  0.688  0.926  0.225
F  0.055  0.106  0.214
F  0.055  0.394  0.714
F  0.270  0.724  0.111
F  0.270  0.776  0.611
F  0.339  0.175  0.047
F  0.339  0.325  0.547
F  0.661  0.675  0.453
F  0.661  0.825  0.953
F  0.730  0.224  0.389
F  0.730  0.276  0.889
F  0.945  0.606  0.286
F  0.945  0.894  0.786

Output
volume: 281.2 Å³/cell
crystal system: monoclinic
space-group type: No. 14
formation energy from raw total energies: -1691 meV per atom

=====

No. 2
Compound: Zn2HgF
Source: Alexandria
Functional: GGA-PBE
Structure: relaxed

Cell lengths 4.600, 4.600, 4.600 Å; angles 60.00, 60.00, 60.00 degrees
Positions (direct):
Zn  0.250  0.250  0.250
Zn  0.750  0.750  0.750
Hg  0.000  0.000  0.000
F  0.500  0.500  0.500

Output
volume: 68.8 Å³/cell
crystal system: cubic
space-group type: No. 225
excess energy over the best structure of this formula in the dataset: 134 meV/atom
formation energy from raw total energies: -417 meV per atom

=====

No. 3
Compound: ZrHg2F6
Source: Alexandria
Functional: GGA-PBE
Structure: relaxed

Cell lengths 5.461, 6.741, 9.329 Å; angles 87.00, 87.80, 81.87 degrees
Positions (direct):
Zr  0.241  0.114  0.397
Zr  0.759  0.886  0.603
Hg  0.216  0.141  0.894
Hg  0.282  0.507  0.832
Hg  0.718  0.493  0.168
Hg  0.784  0.859  0.106
F  0.049  0.670  0.625
F  0.062  0.073  0.607
F  0.189  0.825  0.930
F  0.289  0.995  0.204
F  0.418  0.328  0.290
F  0.487  0.836  0.454
F  0.513  0.164  0.546
F  0.582  0.672  0.710
F  0.711  0.005  0.796
F  0.811  0.175  0.070
F  0.938  0.927  0.393
F  0.951  0.330  0.375

Output
volume: 339.3 Å³/cell
crystal system: triclinic
space-group type: No. 2
formation energy from raw total energies: -2565 meV per atom

=====

No. 4
Compound: ZrHg2F2
Source: Alexandria
Functional: GGA-PBE
Structure: relaxed

Cell lengths 5.899, 5.899, 5.924 Å; angles 90.00, 90.00, 90.00 degrees
Positions (direct):
Zr  0.000  0.000  0.000
Zr  0.500  0.500  0.000
Hg  0.202  0.298  0.500
Hg  0.298  0.798  0.500
Hg  0.702  0.202  0.500
Hg  0.798  0.702  0.500
F  0.197  0.697  0.000
F  0.303  0.197  0.000
F  0.697  0.803  0.000
F  0.803  0.303  0.000

Output
volume: 206.2 Å³/cell
crystal system: tetragonal
space-group type: No. 127
formation energy from raw total energies: -1541 meV per atom

=====

No. 5
Compound: ZrHg2F8
Source: Alexandria
Functional: GGA-PBE
Structure: relaxed

Cell lengths 6.176, 6.176, 8.370 Å; angles 104.90, 104.90, 36.06 degrees
Positions (direct):
Zr  0.000  0.000  0.000
Hg  0.235  0.235  0.685
Hg  0.765  0.765  0.315
F  0.083  0.083  0.815
F  0.184  0.184  0.138
F  0.334  0.334  0.468
F  0.447  0.447  0.863
F  0.553  0.553  0.137
F  0.666  0.666  0.532
F  0.816  0.816  0.862
F  0.917  0.917  0.185

Output
volume: 180.9 Å³/cell
crystal system: monoclinic
space-group type: No. 12
excess energy over the best structure of this formula in the dataset: 0 meV/atom
formation energy from raw total energies: -2388 meV per atom

=====

No. 6
Compound: Zr2HgF
Source: Alexandria
Functional: GGA-PBE
Structure: relaxed

Cell lengths 7.731, 7.731, 7.731 Å; angles 140.85, 140.85, 56.56 degrees
Positions (direct):
Zr  0.005  0.625  0.880
Zr  0.375  0.255  0.380
Zr  0.745  0.125  0.120
Zr  0.875  0.995  0.620
Hg  0.250  0.750  0.500
Hg  0.500  0.500  0.000
F  0.000  0.000  0.000
F  0.750  0.250  0.500

Output
volume: 182.7 Å³/cell
crystal system: tetragonal
space-group type: No. 122
excess energy over the best structure of this formula in the dataset: 89 meV/atom
formation energy from raw total energies: -475 meV per atom

=====

- Among the records above, which one has the lowest volume?
  Zn2HgF